1.
# Cu3Ag7

A relaxed structure of Cu3Ag7 (PBE-GGA, OQMD).

Summary:
Energy of formation from the pure elements ... 68 meV per atom
Energy relative to the lowest polymorph listed for this composition ... 0.394 eV/f.u.

Unit cell a=4.058 b=10.074 c=10.074 alpha=23.26 beta=90.00 gamma=90.00
Sites, in units of the cell vectors:
Cu1 0.000 0.000 0.000
Cu2 0.000 0.197 0.197
Cu3 0.500 0.697 0.697
Ag1 0.000 0.399 0.399
Ag2 0.000 0.603 0.603
Ag3 0.000 0.790 0.790
Ag4 0.500 0.103 0.103
Ag5 0.500 0.290 0.290
Ag6 0.500 0.502 0.502
Ag7 0.500 0.899 0.899



2.
# Cu3Ag5

A relaxed structure of Cu3Ag5 (PBE-GGA, OQMD).

Summary:
Energy of formation from the pure elements ... 65 meV per atom
Energy relative to the lowest polymorph listed for this composition ... 0.228 eV/f.u.

Unit cell a=2.851 b=5.720 c=7.672 alpha=90.00 beta=90.00 gamma=90.00
Sites, in units of the cell vectors:
Cu1 0.000 0.000 0.000
Cu2 0.500 0.225 0.778
Cu3 0.500 0.775 0.778
Ag1 0.000 0.000 0.529
Ag2 0.000 0.500 0.546
Ag3 0.000 0.500 0.988
Ag4 0.500 0.248 0.256
Ag5 0.500 0.752 0.256



3.
# Cu2Ag7

A relaxed structure of Cu2Ag7 (PBE-GGA, OQMD).

Summary:
Energy of formation from the pure elements ... 56 meV per atom
Energy relative to the lowest polymorph listed for this composition ... 0.266 eV/f.u.

Unit cell a=6.300 b=6.300 c=8.802 alpha=103.62 beta=103.62 gamma=26.39
Sites, in units of the cell vectors:
Cu1 0.001 0.001 0.166
Cu2 0.999 0.999 0.834
Ag1 0.000 0.000 0.500
Ag2 0.336 0.336 0.619
Ag3 0.337 0.337 0.270
Ag4 0.345 0.345 0.950
Ag5 0.655 0.655 0.050
Ag6 0.663 0.663 0.730
Ag7 0.664 0.664 0.381